(1)
Here is a relaxed La3MnI crystal from the Alexandria database. Energies are from GGA-PBE.

a = 5.358 Å, b = 5.358 Å, c = 5.358 Å
α = 90.00°, β = 90.00°, γ = 90.00°
Space group Pm-3m (No. 221)
Inequivalent atoms, fractional coordinates:
La 0.000 0.000 0.500 [3 per cell]
Mn 0.000 0.000 0.000 [1 per cell]
I 0.500 0.500 0.500 [1 per cell]

Summary:
The uncorrected formation energy is -137 meV/atom. The calculation puts the electronic total energy at -26.19 eV for the cell shown. As for the excess energy over the best structure of this formula in the dataset: 0.00 eV per formula unit. As for the crystal system: cubic.

=====

(2)
Here is a relaxed TaCo2Ni crystal from the Alexandria database. Energies are from GGA-PBE.

a = 2.6667 Å, b = 2.6667 Å, c = 25.3308 Å
α = 90.00°, β = 90.00°, γ = 120.00°
Space group R-3m (No. 166, hexagonal axes)
Inequivalent atoms, fractional coordinates:
Ta 0.0000 0.0000 0.0000 [3 per cell]
Co 0.0000 0.0000 0.2440 [6 per cell]
Ni 0.0000 0.0000 0.5000 [3 per cell]

Summary:
The calculation puts the electronic total energy at -92.75 eV for the cell shown. As for the excess energy over the best structure of this formula in the dataset: 2.06 eV per formula unit. For the calculated formation energy, the calculation gives 0.23 eV per atom. As for the crystal system: trigonal.

=====

(3)
Here is a relaxed LaTiCu crystal from the Alexandria database. Energies are from GGA-PBE.

a = 4.8051 Å, b = 4.8051 Å, c = 20.3376 Å
α = 90.00°, β = 90.00°, γ = 120.00°
Space group R3m (No. 160, hexagonal axes)
Inequivalent atoms, fractional coordinates:
La 0.0000 0.0000 0.0000 [3 per cell]
La 0.0000 0.0000 0.4497 [3 per cell]
Ti 0.0000 0.0000 0.2311 [3 per cell]
Ti 0.0000 0.0000 0.8544 [3 per cell]
Cu 0.0000 0.0000 0.5886 [3 per cell]
Cu 0.0000 0.0000 0.7219 [3 per cell]

Summary:
The calculation puts the electronic total energy at -98.98 eV for the cell shown. As for the excess energy over the best structure of this formula in the dataset: 0.38 eV per formula unit. For the calculated formation energy, the calculation gives 0.14 eV per atom. As for the crystal system: trigonal.

=====

(4)
Here is a relaxed NiB2Te crystal from the Alexandria database. Energies are from GGA-PBE.

a = 3.824 Å, b = 3.824 Å, c = 14.145 Å
α = 90.00°, β = 90.00°, γ = 90.00°
Space group I-42d (No. 122)
Inequivalent atoms, fractional coordinates:
Ni 0.000 0.000 0.000 [4 per cell]
B 0.040 0.250 0.125 [8 per cell]
Te 0.000 0.000 0.500 [4 per cell]

Summary:
The uncorrected formation energy is 507 meV/atom. The calculation puts the electronic total energy at -81.00 eV for the cell shown. As for the crystal system: tetragonal.